Record 1
VASP calculation (PBE) on a geometry-optimized Rb2TaF structure.

The space group is I-42d (No. 122) and the conventional cell measures 8.280, 8.280 and 9.559 Å, with angles of 90.00, 90.00 and 90.00 degrees. The inequivalent atoms are Rb at (0.134, 0.250, 0.125), Ta at (0.000, 0.000, 0.500) and F at (0.000, 0.000, 0.000).

The density of states at the Fermi level is 5.472 states/eV/f.u. The raw formation energy comes out at 1.1 eV/f.u.

Record 2
VASP calculation (PBE) on a geometry-optimized Pr3Sm4Tm structure.

The space group is C2/m (No. 12) and the conventional cell measures 25.585, 3.497 and 6.258 Å, with angles of 90.00, 95.11 and 90.00 degrees. The inequivalent atoms are Pr at (0.000, 0.000, 0.000), Pr at (0.144, 0.000, 0.255), Sm at (0.106, 0.000, 0.740), Sm at (0.221, 0.500, 0.738) and Tm at (0.000, 0.500, 0.500).

The formation energy is 0.208 eV per atom. The density of states at the Fermi level is 11.822 states/eV/f.u.

| no. | energy above the most stable polymorph in this dataset (meV/atom) |
| --- | --- |
| 1 | 0 |
| 2 | 205 |